DFT (PBE) results for a relaxed structure of NaVAs.

Structure (POSCAR):
```
NaVAs
1.0
3.866 0.000 0.000
0.000 3.866 0.000
0.000 0.000 7.620
Na V As
2 2 2
direct
0.250 0.250 0.141
0.750 0.750 0.859
0.250 0.750 0.500
0.750 0.250 0.500
0.250 0.250 0.716
0.750 0.750 0.284
```

Output
Energy = -5.419 eV/atom
Total moment = 0.0 Bohr magnetons per cell
ΔH_f (0 K) = -9.00 kcal/mol of atoms